Sr3AlPd3: optimized geometry, PBE.

The structure in CIF format:
```
data_Sr3AlPd3
_chemical_formula_sum 'Sr12 Al4 Pd12'
_space_group_name_H-M_alt 'C 1 2/m 1'
_space_group_IT_number 12
_cell_length_a 11.697
_cell_length_b 4.441
_cell_length_c 15.157
_cell_angle_alpha 90.00
_cell_angle_beta 111.42
_cell_angle_gamma 90.00
loop_
_space_group_symop_operation_xyz
'x,y,z'
'-x,-y,-z'
'-x,y,-z'
'x,-y,z'
'x+1/2,y+1/2,z'
'-x+1/2,-y+1/2,-z'
'-x+1/2,y+1/2,-z'
'x+1/2,-y+1/2,z'
loop_
_atom_site_label
_atom_site_type_symbol
_atom_site_fract_x
_atom_site_fract_y
_atom_site_fract_z
Sr1 Sr 0.018 0.000 0.379
Sr2 Sr 0.100 0.000 0.923
Sr3 Sr 0.243 0.000 0.231
Al1 Al 0.239 0.500 0.416
Pd1 Pd 0.066 0.500 0.250
Pd2 Pd 0.109 0.500 0.079
Pd3 Pd 0.139 0.500 0.541
```

=====

Tb7Nd5Sm: optimized geometry, PBE.

The structure in CIF format:
```
data_Tb7Nd5Sm
_chemical_formula_sum 'Tb14 Nd10 Sm2'
_space_group_name_H-M_alt 'C 1 m 1'
_space_group_IT_number 8
_cell_length_a 13.148
_cell_length_b 11.796
_cell_length_c 6.578
_cell_angle_alpha 90.00
_cell_angle_beta 119.87
_cell_angle_gamma 90.00
loop_
_space_group_symop_operation_xyz
'x,y,z'
'x,-y,z'
'x+1/2,y+1/2,z'
'x+1/2,-y+1/2,z'
loop_
_atom_site_label
_atom_site_type_symbol
_atom_site_fract_x
_atom_site_fract_y
_atom_site_fract_z
Tb1 Tb 0.000 0.000 0.000
Tb2 Tb 0.001 0.000 0.448
Tb3 Tb 0.234 0.163 0.506
Tb4 Tb 0.249 0.500 0.507
Tb5 Tb 0.267 0.339 0.038
Nd1 Nd 0.001 0.337 0.112
Nd2 Nd 0.001 0.500 0.634
Nd3 Nd 0.499 0.276 0.652
Sm1 Sm 0.253 0.000 0.013
```

=====

In the order shown, the computed energy values come out to -4.118, -4.556 eV/atom.
In the order shown, the computed formation energy values come out to -0.637, 0.134 eV/atom.